(1)
# PBE-GGA AcTh2Cu, optimized geometry
# - VASP energy: -67.30 eV per cell
# - Calculated formation energy: 0.153 eV/atom
# - Total magnetization: 0.0 μB/f.u.
data_AcTh2Cu
_chemical_formula_sum 'Ac3 Th6 Cu3'
_cell_length_a 3.7520
_cell_length_b 3.7520
_cell_length_c 30.6673
_cell_angle_alpha 90.00
_cell_angle_beta 90.00
_cell_angle_gamma 120.00
_space_group_name_H-M_alt 'R 3 m'
_space_group_IT_number 160
_space_group_name_Hall 'R 3 -2"'
loop_
_atom_site_label
_atom_site_fract_x
_atom_site_fract_y
_atom_site_fract_z
_atom_site_occupancy
Ac1 0.0000 0.0000 0.0000 1
Th1 0.0000 0.0000 0.2313 1
Th2 0.0000 0.0000 0.4341 1
Cu1 0.0000 0.0000 0.8322 1

(2)
# PBE-GGA AcTh2Cu, optimized geometry
# - VASP energy: -22.82 eV per cell
# - Calculated formation energy: 0.057 eV/atom
# - Total magnetization: 0.0 μB/f.u.
data_AcTh2Cu
_chemical_formula_sum 'Ac1 Th2 Cu1'
_cell_length_a 3.675
_cell_length_b 3.675
_cell_length_c 8.854
_cell_angle_alpha 90.00
_cell_angle_beta 90.00
_cell_angle_gamma 90.00
_space_group_name_H-M_alt 'P 4/m m m'
_space_group_IT_number 123
_space_group_name_Hall '-P 4 2'
loop_
_atom_site_label
_atom_site_fract_x
_atom_site_fract_y
_atom_site_fract_z
_atom_site_occupancy
Ac1 0.000 0.000 0.000 1
Th1 0.500 0.500 0.309 1
Cu1 0.000 0.000 0.500 1

(3)
# PBE-GGA AcThCu4, optimized geometry
# - VASP energy: -57.86 eV per cell
# - Calculated formation energy: -0.169 eV/atom
# - Total magnetization: 0.0 μB/f.u.
data_AcThCu4
_chemical_formula_sum 'Ac2 Th2 Cu8'
_cell_length_a 4.345
_cell_length_b 7.601
_cell_length_c 7.666
_cell_angle_alpha 90.00
_cell_angle_beta 90.00
_cell_angle_gamma 90.00
_space_group_name_H-M_alt 'I m m m'
_space_group_IT_number 71
_space_group_name_Hall '-I 2 2'
loop_
_atom_site_label
_atom_site_fract_x
_atom_site_fract_y
_atom_site_fract_z
_atom_site_occupancy
Ac1 0.000 0.000 0.000 1
Th1 0.000 0.000 0.500 1
Cu1 0.000 0.334 0.238 1

(4)
# PBE-GGA AcTh2Cu, optimized geometry
# - VASP energy: -65.37 eV per cell
# - Calculated formation energy: 0.313 eV/atom
# - Total magnetization: 0.0 μB/f.u.
data_AcTh2Cu
_chemical_formula_sum 'Ac3 Th6 Cu3'
_cell_length_a 3.6019
_cell_length_b 3.6019
_cell_length_c 34.0420
_cell_angle_alpha 90.00
_cell_angle_beta 90.00
_cell_angle_gamma 120.00
_space_group_name_H-M_alt 'R -3 m'
_space_group_IT_number 166
_space_group_name_Hall '-R 3 2"'
loop_
_atom_site_label
_atom_site_fract_x
_atom_site_fract_y
_atom_site_fract_z
_atom_site_occupancy
Ac1 0.0000 0.0000 0.0000 1
Th1 0.0000 0.0000 0.1054 1
Cu1 0.0000 0.0000 0.5000 1

(5)
# PBE-GGA AcThCu, optimized geometry
# - VASP energy: -31.11 eV per cell
# - Calculated formation energy: 0.023 eV/atom
# - Total magnetization: 0.0 μB/f.u.
data_AcThCu
_chemical_formula_sum 'Ac2 Th2 Cu2'
_cell_length_a 3.739
_cell_length_b 3.739
_cell_length_c 12.712
_cell_angle_alpha 90.00
_cell_angle_beta 90.00
_cell_angle_gamma 90.00
_space_group_name_H-M_alt 'I 4 m m'
_space_group_IT_number 107
_space_group_name_Hall 'I 4 -2'
loop_
_atom_site_label
_atom_site_fract_x
_atom_site_fract_y
_atom_site_fract_z
_atom_site_occupancy
Ac1 0.000 0.000 0.000 1
Th1 0.000 0.000 0.285 1
Cu1 0.000 0.000 0.670 1

(6)
# PBE-GGA AcThCu4, optimized geometry
# - VASP energy: -110.47 eV per cell
# - Calculated formation energy: 0.049 eV/atom
# - Total magnetization: 0.0 μB/f.u.
data_AcThCu4
_chemical_formula_sum 'Ac4 Th4 Cu16'
_cell_length_a 7.734
_cell_length_b 7.734
_cell_length_c 7.734
_cell_angle_alpha 90.00
_cell_angle_beta 90.00
_cell_angle_gamma 90.00
_space_group_name_H-M_alt 'F -4 3 m'
_space_group_IT_number 216
_space_group_name_Hall 'F -4 2 3'
loop_
_atom_site_label
_atom_site_fract_x
_atom_site_fract_y
_atom_site_fract_z
_atom_site_occupancy
Ac1 0.000 0.000 0.000 1
Th1 0.250 0.250 0.250 1
Cu1 0.123 0.123 0.623 1